1.
The following is a DFT calculation (PBE-GGA) of KSb2IF after structural relaxation.

Structure (extended XYZ):
```
5
Lattice="4.782 0.000 0.000 0.000 4.782 0.000 0.000 0.000 7.105" Properties=species:S:1:pos:R:3 pbc="T T T"
K 0.000 0.000 0.000
Sb 0.000 2.391 3.553
Sb 2.391 0.000 3.553
I 2.391 2.391 0.000
F 2.391 2.391 3.553
```

Density of states at the Fermi level, states/eV/f.u.: 3.1
Space group: P4/mmm
Energy relative to the elements, uncorrected, kJ/mol of formula units: -264
Magnetic moment, μB per formula unit: 0.00


2.
The following is a DFT calculation (PBE-GGA) of Pm3PrTm2Bi6 after structural relaxation.

Structure (extended XYZ):
```
12
Lattice="9.896 -2.272 0.000 9.896 2.272 0.000 -2.079 0.000 8.841" Properties=species:S:1:pos:R:3 pbc="T T T"
Pm 0.000 0.000 0.000
Pm 5.241 0.000 5.905
Pm 12.471 0.000 2.936
Pr -1.039 0.000 4.420
Tm 6.233 0.000 1.469
Tm 11.479 0.000 7.372
Bi 2.105 0.000 5.224
Bi 3.180 0.000 0.684
Bi 9.320 0.000 2.170
Bi 8.393 0.000 6.670
Bi 14.532 0.000 8.157
Bi 15.608 0.000 3.616
```

DFT formation energy, eV/atom: -0.88
Density of states at the Fermi level, states/eV/f.u.: 2.0
Space group: C2/m
Magnetic moment, μB per formula unit: 0.00


3.
The following is a DFT calculation (PBE-GGA) of NbPbO2F after structural relaxation.

Structure (extended XYZ):
```
5
Lattice="4.403 0.000 0.000 0.000 4.403 0.000 0.000 0.000 4.401" Properties=species:S:1:pos:R:3 pbc="T T T"
Nb 0.000 0.000 0.000
Pb 2.202 2.202 2.201
O 0.000 2.202 2.201
O 2.202 0.000 2.201
F 2.202 2.202 0.000
```

Density of states at the Fermi level, states/eV/f.u.: 5.3
Space group: P4/mmm
Energy relative to the elements, uncorrected, kJ/mol of formula units: -126
Magnetic moment, μB per formula unit: 3.22


4.
The following is a DFT calculation (PBE-GGA) of LiGdSb2 after structural relaxation.

Structure (extended XYZ):
```
4
Lattice="4.855 0.000 0.000 0.000 4.855 0.000 0.000 0.000 4.239" Properties=species:S:1:pos:R:3 pbc="T T T"
Li 0.000 0.000 0.000
Gd 2.427 2.427 0.000
Sb 0.000 2.427 2.119
Sb 2.427 0.000 2.119
```

Density of states at the Fermi level, states/eV/f.u.: 2.2
Space group: P4/mmm
E above lowest polymorph, eV per atom: 0.0000
Energy relative to the elements, uncorrected, kJ/mol of formula units: -266
Magnetic moment, μB per formula unit: 6.98


5.
The following is a DFT calculation (PBE-GGA) of Mg4HIr after structural relaxation.

Structure (extended XYZ):
```
6
Lattice="4.332 0.000 0.000 0.000 5.830 0.000 -2.159 0.000 4.271" Properties=species:S:1:pos:R:3 pbc="T T T"
Mg 0.000 0.000 0.000
Mg 0.003 1.578 2.732
Mg 0.003 4.253 2.732
Mg 2.176 2.915 1.146
H 0.282 0.000 1.874
Ir 2.177 2.915 3.850
```

Density of states at the Fermi level, states/eV/f.u.: 1.6
Space group: Pm
E above lowest polymorph, eV per atom: 0.1008
Magnetic moment, μB per formula unit: 0.00


6.
The following is a DFT calculation (PBE-GGA) of TaB2Mo2 after structural relaxation.

Structure (extended XYZ):
```
10
Lattice="4.458 0.000 0.000 0.000 3.167 0.000 -0.713 0.000 8.857" Properties=species:S:1:pos:R:3 pbc="T T T"
Ta 0.296 0.792 2.468
Ta 3.449 2.375 6.389
B 0.146 2.375 4.291
B 1.225 2.375 1.063
B 2.520 0.792 7.794
B 3.599 0.792 4.566
Mo 0.359 0.792 8.353
Mo 1.325 0.792 5.454
Mo 2.420 2.375 3.403
Mo 3.386 2.375 0.504
```

DFT formation energy, eV/atom: -0.38
Density of states at the Fermi level, states/eV/f.u.: 2.2
Space group: P2_1/m
E above lowest polymorph, eV per atom: 0.0767
Magnetic moment, μB per formula unit: 0.00


7.
The following is a DFT calculation (PBE-GGA) of Co3AgPd2Se8 after structural relaxation.

Structure (extended XYZ):
```
14
Lattice="3.585 2.070 6.196 -3.585 2.070 6.196 0.000 -4.140 6.196" Properties=species:S:1:pos:R:3 pbc="T T T"
Co 1.791 1.034 12.393
Co -1.791 1.034 12.393
Co 0.000 -2.068 12.393
Ag 0.000 0.000 2.460
Pd 0.000 0.000 9.291
Pd 0.000 0.000 16.198
Se 0.000 -1.829 7.523
Se -1.584 0.915 7.523
Se 0.000 0.000 5.000
Se -1.616 -0.933 11.034
Se 1.584 0.915 7.523
Se 0.000 0.000 13.656
Se 1.616 -0.933 11.034
Se 0.000 1.867 11.034
```

Density of states at the Fermi level, states/eV/f.u.: 7.5
Space group: R3m
Energy relative to the elements, uncorrected, kJ/mol of formula units: -385
Magnetic moment, μB per formula unit: 0.00


8.
The following is a DFT calculation (PBE-GGA) of MgAlMo2 after structural relaxation.

Structure (extended XYZ):
```
4
Lattice="2.707 0.000 0.000 0.000 4.232 0.000 0.000 0.000 5.768" Properties=species:S:1:pos:R:3 pbc="T T T"
Mg 0.000 0.000 0.000
Al 1.353 2.116 4.346
Mo 0.000 0.000 2.885
Mo 1.353 2.116 1.551
```

DFT formation energy, eV/atom: 0.22
Density of states at the Fermi level, states/eV/f.u.: 3.2
Space group: Pmm2
E above lowest polymorph, eV per atom: 0.2143
Magnetic moment, μB per formula unit: 0.00


9.
The following is a DFT calculation (PBE-GGA) of RuSe after structural relaxation.

Structure (extended XYZ):
```
2
Lattice="1.532 0.885 3.839 -1.532 0.885 3.839 0.000 -1.770 3.839" Properties=species:S:1:pos:R:3 pbc="T T T"
Ru 0.000 0.000 0.000
Se 0.000 0.000 5.759
```

Density of states at the Fermi level, states/eV/f.u.: 2.4
Space group: R-3m
Energy relative to the elements, uncorrected, kJ/mol of formula units: 40
Magnetic moment, μB per formula unit: 0.00


10.
The following is a DFT calculation (PBE-GGA) of Dy2Tm after structural relaxation.

Structure (extended XYZ):
```
6
Lattice="0.000 4.594 4.594 4.594 0.000 4.594 4.594 4.594 0.000" Properties=species:S:1:pos:R:3 pbc="T T T"
Dy 0.000 0.000 0.000
Dy 2.297 2.297 0.000
Dy 2.297 0.000 2.297
Dy 0.000 2.297 2.297
Tm 3.446 3.446 3.446
Tm 5.743 5.743 5.743
```

DFT formation energy, eV/atom: 0.26
Density of states at the Fermi level, states/eV/f.u.: 4.5
Space group: Fd-3m
E above lowest polymorph, eV per atom: 0.2558
Magnetic moment, μB per formula unit: 0.00


11.
The following is a DFT calculation (PBE-GGA) of Cs2PdCl7 after structural relaxation.

Structure (extended XYZ):
```
10
Lattice="-3.650 3.650 5.700 3.650 -3.650 5.700 3.650 3.650 -5.700" Properties=species:S:1:pos:R:3 pbc="T T T"
Cs 3.650 0.000 2.850
Cs 0.000 3.650 2.850
Pd 0.000 0.000 0.000
Cl 0.000 0.000 2.346
Cl 1.699 1.699 0.000
Cl 1.951 -1.951 5.700
Cl 0.000 0.000 5.700
Cl -1.951 1.951 5.700
Cl 1.951 1.951 5.700
Cl 0.000 0.000 9.053
```

Density of states at the Fermi level, states/eV/f.u.: 4.3
Space group: I4/mmm
Energy relative to the elements, uncorrected, kJ/mol of formula units: -950
Magnetic moment, μB per formula unit: 0.00


12.
The following is a DFT calculation (PBE-GGA) of SiOs2Cl after structural relaxation.

Structure (extended XYZ):
```
4
Lattice="2.959 0.000 0.000 0.000 2.959 0.000 0.000 0.000 6.898" Properties=species:S:1:pos:R:3 pbc="T T T"
Si 0.000 0.000 0.000
Os 1.480 1.480 1.345
Os 1.480 1.480 5.554
Cl 0.000 0.000 3.449
```

Density of states at the Fermi level, states/eV/f.u.: 4.9
Space group: P4/mmm
E above lowest polymorph, eV per atom: 0.1864
Energy relative to the elements, uncorrected, kJ/mol of formula units: 198
Magnetic moment, μB per formula unit: 0.00